Record 1
Compound: FeHgP2
Source: Alexandria
Functional: SCAN
Structure: single point on PBEsol structure

Output
The value obtained for the density of states at the Fermi level is 2.535 states/eV/f.u. Its total magnetization is 2.84 μB per formula unit. For the final energy, the calculation gives -104.08 eV per cell.

```
FeHgP2
1.0
3.429 0.000 0.000
0.000 4.224 0.000
0.000 0.000 4.224
Fe Hg P
1 1 2
Cartesian
1.715 2.112 2.112 Fe
1.715 0.000 0.000 Hg
0.000 0.000 2.112 P
0.000 2.112 0.000 P
```

---

Record 2
Compound: Fe2HgPPb
Source: Alexandria
Functional: SCAN
Structure: single point on PBEsol structure

Output
The value obtained for the density of states at the Fermi level is 3.533 states/eV/f.u. Its total magnetization is 6.05 μB per formula unit. For the final energy, the calculation gives -183.60 eV per cell.

```
Fe2HgPPb
1.0
4.939 0.000 0.000
0.000 4.939 0.000
0.000 0.000 5.123
Pb P Hg Fe
1 1 1 2
Cartesian
0.000 0.000 0.000 Pb
0.000 0.000 2.562 P
2.470 2.470 2.562 Hg
0.000 2.470 0.000 Fe
2.470 0.000 0.000 Fe
```

---

Question: What is the final energy in the first record?
Answer: -104.08 eV per cell

---

Question: Among the records above, which one has the lowest final energy?
Answer: Fe2HgPPb

---

Question: Which of these has the highest final energy?
Answer: FeHgP2